Record 1
Here is a relaxed structure of LiCe3Hf2N6 from Alexandria. Energies are from PBE.

Structure (POSCAR):
```
LiCe3Hf2N6
1.0
2.9265 -5.0598 0.0000
2.9265 5.0598 0.0000
-1.9247 0.0000 5.5587
Li Ce Hf N
1 3 2 6
direct
0.0000 0.0000 0.0000 Li
0.1598 0.8402 0.5000 Ce
0.5000 0.5000 0.5000 Ce
0.8402 0.1598 0.5000 Ce
0.3323 0.6677 0.0000 Hf
0.6677 0.3323 0.0000 Hf
0.0782 0.4370 0.2323 N
0.2830 0.2830 0.7777 N
0.4370 0.0782 0.2323 N
0.5630 0.9218 0.7677 N
0.7170 0.7170 0.2223 N
0.9218 0.5630 0.7677 N
```

Calculated values
Volume, A^3/atom: 13.72
Electronic total energy, eV/atom: -8.90
Formation energy (no corrections), eV per atom: -1.439

***

Record 2
Here is a relaxed structure of LiCeHfN3 from Alexandria. Energies are from PBE.

Structure (POSCAR):
```
LiCeHfN3
1.0
5.9773 0.0000 0.0000
0.0000 3.4008 0.0000
-1.9972 0.0000 8.1705
Li Ce Hf N
2 2 2 6
direct
0.1617 0.2500 0.0571 Li
0.8383 0.7500 0.9429 Li
0.1527 0.7500 0.6943 Ce
0.8473 0.2500 0.3057 Ce
0.3638 0.7500 0.3326 Hf
0.6362 0.2500 0.6674 Hf
0.0193 0.7500 0.1868 N
0.2619 0.2500 0.5057 N
0.4693 0.2500 0.2200 N
0.5307 0.7500 0.7800 N
0.7381 0.7500 0.4943 N
0.9807 0.2500 0.8132 N
```

Calculated values
Volume, A^3/atom: 13.84
Electronic total energy, eV/atom: -8.47
Formation energy (no corrections), eV per atom: -1.339

***

Record 3
Here is a relaxed structure of LiCe2HfN4 from Alexandria. Energies are from PBE.

Structure (POSCAR):
```
LiCe2HfN4
1.0
5.7623 0.0000 0.0000
0.0000 3.4453 0.0000
-1.9295 0.0000 5.6053
Li Ce Hf N
1 2 1 4
direct
0.0000 0.0000 0.0000 Li
0.5000 0.0000 0.5000 Ce
0.5000 0.5000 0.0000 Ce
0.0000 0.5000 0.5000 Hf
0.2297 0.0000 0.7285 N
0.2532 0.5000 0.2797 N
0.7468 0.5000 0.7203 N
0.7703 0.0000 0.2715 N
```

Calculated values
Volume, A^3/atom: 13.91
Electronic total energy, eV/atom: -8.40
Formation energy (no corrections), eV per atom: -1.274

***

Record 4
Here is a relaxed structure of LiCeHf2N4 from Alexandria. Energies are from PBE.

Structure (POSCAR):
```
LiCeHf2N4
1.0
1.6322 -5.3502 0.0000
1.6322 5.3502 0.0000
0.0000 0.0000 10.9557
Li Ce Hf N
2 2 4 8
direct
0.1586 0.8414 0.7500 Li
0.8414 0.1586 0.2500 Li
0.1089 0.8911 0.2500 Ce
0.8911 0.1089 0.7500 Ce
0.3677 0.6323 0.0558 Hf
0.3677 0.6323 0.4442 Hf
0.6323 0.3677 0.5558 Hf
0.6323 0.3677 0.9442 Hf
0.0000 0.0000 0.0000 N
0.0000 0.0000 0.5000 N
0.2662 0.7338 0.6125 N
0.2662 0.7338 0.8875 N
0.4432 0.5568 0.2500 N
0.5568 0.4432 0.7500 N
0.7338 0.2662 0.1125 N
0.7338 0.2662 0.3875 N
```

Calculated values
Volume, A^3/atom: 11.96
Electronic total energy, eV/atom: -9.18
Formation energy (no corrections), eV per atom: -1.552

***

Record 5
Here is a relaxed structure of LiCeHfRe from Alexandria. Energies are from PBE.

Structure (POSCAR):
```
LiCeHfRe
1.0
0.0000 3.3937 3.3937
3.3937 0.0000 3.3937
3.3937 3.3937 0.0000
Li Ce Hf Re
1 1 1 1
direct
0.0000 0.0000 0.0000 Li
0.2500 0.2500 0.2500 Ce
0.7500 0.7500 0.7500 Hf
0.5000 0.5000 0.5000 Re
```

Calculated values
Volume, A^3/atom: 19.54
Electronic total energy, eV/atom: -7.53
Energy of formation from the pure elements, kJ/mol of atoms: 3

***

Record 6
Here is a relaxed structure of LiCeHfRu from Alexandria. Energies are from PBE.

Structure (POSCAR):
```
LiCeHfRu
1.0
0.0000 3.3881 3.3881
3.3881 0.0000 3.3881
3.3881 3.3881 0.0000
Li Ce Hf Ru
1 1 1 1
direct
0.0000 0.0000 0.0000 Li
0.2500 0.2500 0.2500 Ce
0.7500 0.7500 0.7500 Hf
0.5000 0.5000 0.5000 Ru
```

Calculated values
Volume, A^3/atom: 19.45
Electronic total energy, eV/atom: -6.89
Energy of formation from the pure elements, kJ/mol of atoms: -12

***

Record 7
Here is a relaxed structure of Li3Ce3HfS8 from Alexandria. Energies are from PBE.

Structure (POSCAR):
```
Li3Ce3HfS8
1.0
4.0044 2.3119 6.1249
-4.0044 2.3119 6.1249
0.0000 -4.6239 6.1249
Li Ce Hf S
3 3 1 8
direct
0.0000 0.5000 0.5000 Li
0.5000 0.0000 0.5000 Li
0.5000 0.5000 0.0000 Li
0.0000 0.0000 0.5000 Ce
0.0000 0.5000 0.0000 Ce
0.5000 0.0000 0.0000 Ce
0.5000 0.5000 0.5000 Hf
0.2533 0.2533 0.2533 S
0.2672 0.2672 0.7243 S
0.2672 0.7243 0.2672 S
0.2757 0.7328 0.7328 S
0.7243 0.2672 0.2672 S
0.7328 0.2757 0.7328 S
0.7328 0.7328 0.2757 S
0.7467 0.7467 0.7467 S
```

Calculated values
Volume, A^3/atom: 22.68
Electronic total energy, eV/atom: -6.13
Formation energy (no corrections), eV per atom: -1.699

***

Record 8
Here is a relaxed structure of Li2CeHfS4 from Alexandria. Energies are from PBE.

Structure (POSCAR):
```
Li2CeHfS4
1.0
6.5945 0.0000 0.0000
0.0000 3.7738 0.0000
-2.1764 0.0000 6.2488
Li Ce Hf S
2 1 1 4
direct
0.0000 0.0000 0.0000 Li
0.0000 0.5000 0.5000 Li
0.5000 0.0000 0.5000 Ce
0.5000 0.5000 0.0000 Hf
0.2417 0.5000 0.2241 S
0.2539 0.0000 0.7706 S
0.7461 0.0000 0.2294 S
0.7583 0.5000 0.7759 S
```

Calculated values
Volume, A^3/atom: 19.44
Electronic total energy, eV/atom: -6.11
Formation energy (no corrections), eV per atom: -1.582